Entry A
Here is a relaxed Li3Tl2Zn crystal from the Alexandria database. Energies are from PBE.

The structure belongs to space group Ibam (No. 72); the cell edges are 5.8118, 15.0240 and 5.5040 Å and the angles 90.00°, 90.00° and 90.00°. The inequivalent atoms are Li at (0.0000, 0.0000, 0.2500), Li at (0.1744, 0.3523, 0.0000), Tl at (0.1815, 0.1594, 0.0000) and Zn at (0.0000, 0.5000, 0.2500).


Entry B
Here is a relaxed Li3Tl2Zn crystal from the Alexandria database. Energies are from PBE.

The structure belongs to space group Cmmm (No. 65); the cell edges are 4.8137, 14.4307 and 6.5786 Å and the angles 90.00°, 90.00° and 90.00°. The inequivalent atoms are Li at (0.0000, 0.0000, 0.2405), Li at (0.0000, 0.3275, 0.2298), Tl at (0.0000, 0.1666, 0.5000), Tl at (0.0000, 0.5000, 0.0000), Tl at (0.0000, 0.5000, 0.5000) and Zn at (0.0000, 0.1651, 0.0000).


Name the least stable of them. entry A.


Entry A
Here is a relaxed Li2TlZn2 crystal from the Alexandria database. Energies are from PBE.

The structure belongs to space group I4/mmm (No. 139); the cell edges are 4.0253, 4.0253 and 12.3682 Å and the angles 90.00°, 90.00° and 90.00°. The inequivalent atoms are Li at (0.0000, 0.5000, 0.2500), Tl at (0.0000, 0.0000, 0.0000) and Zn at (0.0000, 0.0000, 0.3951).


Entry B
Here is a relaxed Li2TlZn2 crystal from the Alexandria database. Energies are from PBE.

The structure belongs to space group P4/mbm (No. 127); the cell edges are 7.4887, 7.4887 and 3.2385 Å and the angles 90.00°, 90.00° and 90.00°. The inequivalent atoms are Li at (0.1519, 0.3481, 0.0000), Tl at (0.0000, 0.0000, 0.0000) and Zn at (0.1351, 0.6351, 0.5000).


Entry C
Here is a relaxed Li2TlZn2 crystal from the Alexandria database. Energies are from PBE.

The structure belongs to space group C2/c (No. 15); the cell edges are 9.8585, 4.7622 and 7.8308 Å and the angles 90.00°, 107.54° and 90.00°. The inequivalent atoms are Li at (0.1874, 0.2070, 0.1459), Tl at (0.0000, 0.2180, 0.7500) and Zn at (0.1170, 0.2925, 0.4580).


Name the least stable of them. entry A.


Entry A
Here is a relaxed Li7Tl2Zn crystal from the Alexandria database. Energies are from PBE.

The structure belongs to space group Fm-3m (No. 225); the cell edges are 9.5608, 9.5608 and 9.5608 Å and the angles 90.00°, 90.00° and 90.00°. The inequivalent atoms are Li at (0.0000, 0.0000, 0.0000), Li at (0.0000, 0.0000, 0.2508), Tl at (0.2500, 0.2500, 0.2500) and Zn at (0.0000, 0.0000, 0.5000).


Entry B
Here is a relaxed Li7Tl2Zn crystal from the Alexandria database. Energies are from PBE.

The structure belongs to space group P3m1 (No. 156); the cell edges are 4.6198, 4.6198 and 10.1888 Å and the angles 90.00°, 90.00° and 120.00°. The inequivalent atoms are Li at (0.0000, 0.0000, 0.0000), Li at (0.0000, 0.0000, 0.2344), Li at (0.0000, 0.0000, 0.4758), Li at (0.3333, 0.6667, 0.0261), Li at (0.3333, 0.6667, 0.6264), Li at (0.6667, 0.3333, 0.4422), Li at (0.6667, 0.3333, 0.8558), Tl at (0.0000, 0.0000, 0.7383), Tl at (0.3333, 0.6667, 0.3163) and Zn at (0.6667, 0.3333, 0.1511).


Name the least stable of them. entry A.